Entry 1:
Here is a geometry-optimized Ge3PPd structure from Alexandria. Energies are from GGA-PBE.

Structure (extended XYZ):
```
5
Lattice="4.684 0.000 0.000 0.000 4.684 0.000 0.000 0.000 4.684" Properties=species:S:1:pos:R:3 pbc="T T T"
Ge 0.000 0.000 2.342
Ge 0.000 2.342 0.000
Ge 2.342 0.000 0.000
P 0.000 0.000 0.000
Pd 2.342 2.342 2.342
```

## Properties
space-group type = Pm-3m
energy = -4.240 eV per atom
D(E_F) = 0.5826 states/eV per atom

=====

Entry 2:
Here is a geometry-optimized Pm2GeP3Pd4 structure from Alexandria. Energies are from GGA-PBE.

Structure (extended XYZ):
```
10
Lattice="4.193 0.000 0.000 0.000 4.193 0.000 0.000 0.000 10.199" Properties=species:S:1:pos:R:3 pbc="T T T"
Pm 0.000 2.097 2.482
Pm 2.097 0.000 7.717
Ge 0.000 0.000 5.099
P 0.000 2.097 8.833
P 2.097 0.000 1.366
P 2.097 2.097 5.099
Pd 0.000 0.000 0.000
Pd 0.000 2.097 6.471
Pd 2.097 0.000 3.728
Pd 2.097 2.097 0.000
```

## Properties
space-group type = P-4m2
energy = -6.015 eV per atom
D(E_F) = 0.4985 states/eV per atom

=====

Entry 3:
Here is a geometry-optimized Pm2Ge3PPd4 structure from Alexandria. Energies are from GGA-PBE.

Structure (extended XYZ):
```
10
Lattice="4.367 0.000 0.000 0.000 4.367 0.000 0.000 0.000 9.897" Properties=species:S:1:pos:R:3 pbc="T T T"
Pm 0.000 2.184 2.395
Pm 2.184 0.000 7.501
Ge 0.000 0.000 0.000
Ge 0.000 2.184 6.249
Ge 2.184 0.000 3.648
P 2.184 2.184 0.000
Pd 0.000 0.000 4.948
Pd 0.000 2.184 8.724
Pd 2.184 0.000 1.173
Pd 2.184 2.184 4.948
```

## Properties
space-group type = P-4m2
energy = -5.775 eV per atom
D(E_F) = 0.6577 states/eV per atom

=====

Entry 4:
Here is a geometry-optimized PmGePPd structure from Alexandria. Energies are from GGA-PBE.

Structure (extended XYZ):
```
4
Lattice="0.000 3.405 3.405 3.405 0.000 3.405 3.405 3.405 0.000" Properties=species:S:1:pos:R:3 pbc="T T T"
Pm 0.000 0.000 0.000
Ge 3.405 3.405 3.405
P 5.107 5.107 5.107
Pd 1.702 1.702 1.702
```

## Properties
space-group type = F-43m
energy = -5.479 eV per atom
D(E_F) = 0.1627 states/eV per atom

=====

Entry 5:
Here is a geometry-optimized Pr3GeP2Pd9 structure from Alexandria. Energies are from GGA-PBE.

Structure (extended XYZ):
```
15
Lattice="6.388 0.000 0.000 -3.194 5.532 0.000 0.000 0.000 8.592" Properties=species:S:1:pos:R:3 pbc="T T T"
Pr 0.000 0.000 0.000
Pr 0.000 3.688 5.503
Pr 3.194 1.844 3.089
Ge 0.000 0.000 4.296
P 0.000 3.688 1.456
P 3.194 1.844 7.136
Pd -1.597 2.766 0.000
Pd 0.000 1.681 2.493
Pd -1.738 4.692 2.493
Pd 1.456 0.840 6.099
Pd 3.194 0.000 0.000
Pd 1.597 2.766 0.000
Pd 1.738 4.692 2.493
Pd 4.933 0.840 6.099
Pd 3.194 3.852 6.099
```

## Properties
space-group type = P-3m1
energy = -5.795 eV per atom
D(E_F) = 0.3306 states/eV per atom

=====

Entry 6:
Here is a geometry-optimized Pu2GePPd6 structure from Alexandria. Energies are from GGA-PBE.

Structure (extended XYZ):
```
20
Lattice="5.554 0.000 0.000 0.000 8.655 0.000 0.000 0.000 8.117" Properties=species:S:1:pos:R:3 pbc="T T T"
Pu 1.388 0.077 1.887
Pu 1.388 4.251 1.887
Pu 4.165 4.404 6.231
Pu 4.165 8.579 6.231
Ge 1.388 6.491 6.275
Ge 4.165 2.164 1.843
P 1.388 2.164 6.030
P 4.165 6.491 2.087
Pd 5.552 2.164 4.020
Pd 0.001 6.491 4.097
Pd 0.012 2.164 7.933
Pd 1.388 0.016 5.032
Pd 1.388 4.311 5.032
Pd 2.765 2.164 7.933
Pd 2.778 2.164 4.020
Pd 2.775 6.491 4.097
Pd 2.789 6.491 0.185
Pd 4.165 4.344 3.086
Pd 4.165 8.639 3.086
Pd 5.541 6.491 0.185
```

## Properties
space-group type = Pmmn
energy = -7.514 eV per atom
D(E_F) = 3.3732 states/eV per atom

=====

Entry 7:
Here is a geometry-optimized ScGeP2Pd structure from Alexandria. Energies are from GGA-PBE.

Structure (extended XYZ):
```
5
Lattice="4.790 0.000 0.000 0.000 4.790 0.000 0.000 0.000 4.623" Properties=species:S:1:pos:R:3 pbc="T T T"
Sc 0.000 0.000 0.000
Ge 2.395 2.395 0.000
P 0.000 2.395 2.311
P 2.395 0.000 2.311
Pd 2.395 2.395 2.311
```

## Properties
space-group type = P4/mmm
energy = -5.118 eV per atom
D(E_F) = 0.8012 states/eV per atom

=====

Entry 8:
Here is a geometry-optimized Ge2TePPd structure from Alexandria. Energies are from GGA-PBE.

Structure (extended XYZ):
```
5
Lattice="4.726 0.000 0.000 0.000 4.726 0.000 0.000 0.000 5.530" Properties=species:S:1:pos:R:3 pbc="T T T"
Ge 0.000 2.363 0.000
Ge 2.363 0.000 0.000
Te 0.000 0.000 2.765
P 2.363 2.363 2.765
Pd 0.000 0.000 0.000
```

## Properties
space-group type = P4/mmm
energy = -4.029 eV per atom
uncorrected formation energy = 2.8 eV per formula unit
D(E_F) = 0.6299 states/eV per atom

=====

Entry 9:
Here is a geometry-optimized Y2GePPd6 structure from Alexandria. Energies are from GGA-PBE.

Structure (extended XYZ):
```
20
Lattice="5.562 0.000 0.000 0.000 8.657 0.000 0.000 0.000 7.984" Properties=species:S:1:pos:R:3 pbc="T T T"
Y 1.390 0.109 1.896
Y 1.390 4.219 1.896
Y 4.171 4.438 6.088
Y 4.171 8.548 6.088
Ge 1.390 6.493 6.199
Ge 4.171 2.164 1.785
P 1.390 2.164 5.908
P 4.171 6.493 2.075
Pd 0.001 2.164 3.935
Pd 5.560 6.493 4.049
Pd 0.013 2.164 7.774
Pd 1.390 0.018 4.967
Pd 1.390 4.311 4.967
Pd 2.768 2.164 7.774
Pd 2.779 2.164 3.935
Pd 2.782 6.493 4.049
Pd 2.794 6.493 0.210
Pd 4.171 4.346 3.016
Pd 4.171 8.640 3.016
Pd 5.549 6.493 0.210
```

## Properties
space-group type = Pmmn
energy = -6.158 eV per atom
D(E_F) = 0.3451 states/eV per atom

=====

Entry 10:
Here is a geometry-optimized Pm5Ge2P2 structure from Alexandria. Energies are from GGA-PBE.

Structure (extended XYZ):
```
18
Lattice="7.422 -3.916 0.000 7.422 3.916 0.000 0.000 0.000 7.917" Properties=species:S:1:pos:R:3 pbc="T T T"
Pm 0.000 0.000 0.000
Pm 5.423 2.618 5.235
Pm 5.423 1.297 1.276
Pm 9.421 2.618 5.235
Pm 9.421 1.297 1.276
Pm 7.422 0.000 3.958
Pm 5.423 -1.297 6.641
Pm 5.423 -2.618 2.682
Pm 9.421 -1.297 6.641
Pm 9.421 -2.618 2.682
Ge 3.000 0.000 0.000
Ge 4.422 0.000 3.958
Ge 10.422 0.000 3.958
Ge 11.845 0.000 0.000
P 7.422 2.799 2.821
P 7.422 1.117 6.780
P 7.422 -1.117 1.137
P 7.422 -2.799 5.095
```

## Properties
space-group type = Cmce
energy = -5.902 eV per atom
D(E_F) = 0.6384 states/eV per atom

=====

Entry 11:
Here is a geometry-optimized Pm4Ge2P structure from Alexandria. Energies are from GGA-PBE.

Structure (extended XYZ):
```
7
Lattice="-2.613 2.613 7.815 2.613 -2.613 7.815 2.613 2.613 -7.815" Properties=species:S:1:pos:R:3 pbc="T T T"
Pm 2.613 0.000 0.000
Pm 0.000 0.000 2.811
Pm 0.000 2.613 0.000
Pm 0.000 0.000 12.820
Ge 0.000 0.000 5.785
Ge 0.000 0.000 9.846
P 0.000 0.000 0.000
```

## Properties
space-group type = I4/mmm
energy = -5.421 eV per atom
D(E_F) = 0.6018 states/eV per atom

=====

Entry 12:
Here is a geometry-optimized Pm8Ge5P structure from Alexandria. Energies are from GGA-PBE.

Structure (extended XYZ):
```
14
Lattice="-4.520 4.520 4.530 4.520 -4.520 4.530 4.520 4.520 -4.530" Properties=species:S:1:pos:R:3 pbc="T T T"
Pm 3.926 2.807 -1.739
Pm 6.179 0.599 0.533
Pm 0.599 2.862 -0.533
Pm 0.594 1.713 2.790
Pm 3.921 1.659 3.996
Pm 1.713 -0.594 6.269
Pm 2.807 5.114 1.739
Pm -1.659 3.921 5.063
Ge 0.000 0.000 0.000
Ge 2.253 -1.126 3.396
Ge 3.394 2.267 1.133
Ge 2.267 5.646 -1.133
Ge 1.126 2.253 5.663
P 0.000 4.520 2.265
```

## Properties
space-group type = I-4
energy = -5.658 eV per atom
D(E_F) = 0.5165 states/eV per atom

=====

Entry 13:
Here is a geometry-optimized Pm6GeP4 structure from Alexandria. Energies are from GGA-PBE.

Structure (extended XYZ):
```
22
Lattice="2.069 -6.789 0.000 2.069 6.789 0.000 0.000 0.000 20.736" Properties=species:S:1:pos:R:3 pbc="T T T"
Pm 0.000 0.000 0.000
Pm 0.000 0.000 10.368
Pm 2.069 4.300 15.552
Pm 2.069 3.074 1.712
Pm 2.069 3.074 8.656
Pm 2.069 0.608 13.735
Pm 2.069 0.608 17.369
Pm 2.069 -0.608 3.367
Pm 2.069 -0.608 7.001
Pm 2.069 -3.074 12.080
Pm 2.069 -3.074 19.024
Pm 2.069 -4.300 5.184
Ge 2.069 4.605 5.184
Ge 2.069 -4.605 15.552
P 2.069 5.556 13.017
P 2.069 5.556 18.088
P 2.069 1.865 11.249
P 2.069 1.865 19.855
P 2.069 -1.865 0.881
P 2.069 -1.865 9.487
P 2.069 -5.556 2.649
P 2.069 -5.556 7.720
```

## Properties
space-group type = Cmcm
energy = -6.309 eV per atom
D(E_F) = 0.4675 states/eV per atom

=====

Entry 14:
Here is a geometry-optimized Pm4GeP2 structure from Alexandria. Energies are from GGA-PBE.

Structure (extended XYZ):
```
14
Lattice="2.077 -6.695 0.000 2.077 6.695 0.000 0.000 0.000 13.750" Properties=species:S:1:pos:R:3 pbc="T T T"
Pm 0.000 0.000 0.000
Pm 0.000 0.000 6.875
Pm 2.077 3.046 8.535
Pm 2.077 3.046 12.090
Pm 2.077 0.648 3.437
Pm 2.077 -0.648 10.312
Pm 2.077 -3.046 1.660
Pm 2.077 -3.046 5.215
Ge 2.077 5.241 3.437
Ge 2.077 -5.241 10.312
P 2.077 1.831 0.857
P 2.077 1.831 6.018
P 2.077 -1.831 7.732
P 2.077 -1.831 12.893
```

## Properties
space-group type = Cmcm
energy = -6.076 eV per atom
D(E_F) = 0.6865 states/eV per atom

=====

Entry 15:
Here is a geometry-optimized Pm5GeP4 structure from Alexandria. Energies are from GGA-PBE.

Structure (extended XYZ):
```
10
Lattice="-4.645 4.645 2.935 4.645 -4.645 2.935 4.645 4.645 -2.935" Properties=species:S:1:pos:R:3 pbc="T T T"
Pm 0.000 0.000 0.000
Pm 5.609 1.790 0.000
Pm 1.790 3.680 0.000
Pm 2.854 0.965 2.935
Pm -0.965 2.854 2.935
Ge 0.000 0.000 2.935
P 2.791 0.934 0.000
P 3.711 -1.854 2.935
P 0.934 6.498 0.000
P 1.854 3.711 2.935
```

## Properties
space-group type = I4/m
energy = -6.369 eV per atom
D(E_F) = 0.5131 states/eV per atom

=====

Entry 16:
Here is a geometry-optimized Pm4Ge2P structure from Alexandria. Energies are from GGA-PBE.

Structure (extended XYZ):
```
14
Lattice="6.673 0.000 0.000 0.000 6.357 0.000 -3.118 0.000 8.861" Properties=species:S:1:pos:R:3 pbc="T T T"
Pm -0.709 0.035 2.285
Pm -0.709 3.144 2.285
Pm 2.566 1.589 0.537
Pm 1.007 1.589 5.717
Pm 2.548 4.768 3.144
Pm 0.989 4.768 8.324
Pm 4.264 3.213 6.577
Pm 4.264 6.322 6.577
Ge 1.182 4.768 0.391
Ge -0.231 4.768 4.973
Ge 3.786 1.589 3.888
Ge 2.373 1.589 8.470
P 1.521 1.589 3.039
P 2.034 4.768 5.822
```

## Properties
space-group type = P2_1/m
energy = -5.550 eV per atom
D(E_F) = 0.6729 states/eV per atom

=====

Entry 17:
Here is a geometry-optimized PmGe2P structure from Alexandria. Energies are from GGA-PBE.

Structure (extended XYZ):
```
4
Lattice="4.134 0.000 0.000 0.000 4.134 0.000 0.000 0.000 4.784" Properties=species:S:1:pos:R:3 pbc="T T T"
Pm 0.000 0.000 0.000
Ge 0.000 2.067 2.392
Ge 2.067 0.000 2.392
P 2.067 2.067 0.000
```

## Properties
space-group type = P4/mmm
energy = -5.260 eV per atom
D(E_F) = 0.6164 states/eV per atom

=====

Entry 18:
Here is a geometry-optimized Pm7GeP5 structure from Alexandria. Energies are from GGA-PBE.

Structure (extended XYZ):
```
26
Lattice="2.066 -6.799 0.000 2.066 6.799 0.000 0.000 0.000 24.311" Properties=species:S:1:pos:R:3 pbc="T T T"
Pm 2.066 6.160 18.234
Pm 2.066 4.945 0.858
Pm 2.066 4.945 11.298
Pm 2.066 2.454 16.420
Pm 2.066 2.454 20.047
Pm 2.066 1.216 2.567
Pm 2.066 1.216 9.589
Pm 2.066 -1.216 14.723
Pm 2.066 -1.216 21.745
Pm 2.066 -2.454 4.264
Pm 2.066 -2.454 7.892
Pm 2.066 -4.945 13.013
Pm 2.066 -4.945 23.454
Pm 2.066 -6.160 6.078
Ge 2.066 2.766 6.078
Ge 2.066 -2.766 18.234
P 2.066 6.187 3.530
P 2.066 6.187 8.626
P 2.066 3.712 13.941
P 2.066 3.712 22.527
P 2.066 0.000 0.000
P 2.066 0.000 12.156
P 2.066 -3.712 1.785
P 2.066 -3.712 10.371
P 2.066 -6.187 15.686
P 2.066 -6.187 20.782
```

## Properties
space-group type = Cmcm
energy = -6.366 eV per atom
D(E_F) = 0.3736 states/eV per atom

=====

Entry 19:
Here is a geometry-optimized PmGe2P2Pt7 structure from Alexandria. Energies are from GGA-PBE.

Structure (extended XYZ):
```
12
Lattice="2.792 -2.762 0.000 2.792 2.762 0.000 -2.716 0.000 14.965" Properties=species:S:1:pos:R:3 pbc="T T T"
Pm 0.000 0.000 0.000
Ge 0.197 0.000 6.461
Ge 2.671 0.000 8.503
P 0.079 0.000 11.324
P 2.789 0.000 3.641
Pt 1.396 1.382 2.315
Pt 0.150 0.000 9.019
Pt 1.472 1.382 12.650
Pt 2.792 0.000 0.000
Pt 1.396 -1.382 2.315
Pt 2.718 0.000 5.946
Pt 1.472 -1.382 12.650
```

## Properties
space-group type = C2/m
energy = -6.127 eV per atom
D(E_F) = 0.2930 states/eV per atom

=====

Entry 20:
Here is a geometry-optimized Pm3GeP2Pt9 structure from Alexandria. Energies are from GGA-PBE.

Structure (extended XYZ):
```
15
Lattice="6.432 0.000 0.000 -3.216 5.570 0.000 0.000 0.000 8.554" Properties=species:S:1:pos:R:3 pbc="T T T"
Pm 0.000 0.000 0.000
Pm 0.000 3.713 5.816
Pm 3.216 1.857 2.738
Ge 0.000 0.000 4.277
P 0.000 3.713 1.546
P 3.216 1.857 7.008
Pt -1.608 2.785 0.000
Pt 0.000 1.647 2.430
Pt -1.789 4.746 2.430
Pt 1.426 0.824 6.125
Pt 3.216 0.000 0.000
Pt 1.608 2.785 0.000
Pt 1.789 4.746 2.430
Pt 5.005 0.824 6.125
Pt 3.216 3.923 6.125
```

## Properties
space-group type = P-3m1
energy = -6.329 eV per atom
D(E_F) = 0.3773 states/eV per atom